A plane-wave DFT calculation with GGA-PBE was carried out for Tb3Er2Cd2 after structural relaxation.

Cell and atoms, written as POSCAR:
```
Tb3Er2Cd2
1.0
2.535 -11.326 0.000
2.535 11.326 0.000
0.000 0.000 3.463
Tb Er Cd
3 2 2
Cartesian
0.000 0.000 0.000 Tb
2.535 7.981 0.000 Tb
2.535 -7.981 0.000 Tb
2.535 4.765 1.731 Er
2.535 -4.765 1.731 Er
2.535 1.560 1.731 Cd
2.535 -1.560 1.731 Cd
```

**M_tot**: 0.0 μB/f.u.
**Calculated total energy**: -3.604 eV per atom
**Energy of formation**: -0.0548 eV/atom
**Energy above the most stable polymorph in this dataset**: 0.69 eV/f.u.